--- P ---
Tb2SbS5 | PBE | optimized geometry

It has space group Cmcm (No. 63), with a = 5.2859 Å, b = 13.3977 Å, c = 12.9944 Å, α = 90.00°, β = 90.00° and γ = 90.00°. The distinct sites, in fractional coordinates, are Tb at (0.0000, 0.1549, 0.0668), Sb at (0.0000, 0.1703, 0.7500), S at (0.0000, 0.0439, 0.6079), S at (0.0000, 0.2723, 0.2500) and S at (0.0000, 0.3012, 0.5852).

The value obtained for the calculated volume is 28.8 A^3/atom. As for the density of states at the Fermi level: 9.59 states/eV/cell. Its total magnetization is 0.00 μB/f.u.

=====

--- Q ---
Tb2SbS5 | PBE | optimized geometry

It has space group Pbam (No. 55), with a = 7.7071 Å, b = 11.4255 Å, c = 3.9063 Å, α = 90.00°, β = 90.00° and γ = 90.00°. The distinct sites, in fractional coordinates, are Tb at (0.0288, 0.1734, 0.0000), Sb at (0.0000, 0.5000, 0.5000), S at (0.0000, 0.0000, 0.5000), S at (0.1730, 0.4012, 0.0000) and S at (0.1811, 0.6981, 0.5000).

The value obtained for the calculated volume is 21.5 A^3/atom. As for the density of states at the Fermi level: 3.78 states/eV/cell. Its total magnetization is 0.00 μB/f.u.

=====

Most stable: Q (next structure +0.062 eV/atom)